No. 1
EuDy2Tm | GGA-PBE | optimized geometry

Geometry as POSCAR:
```
EuDy2Tm
1.0
5.886 0.000 0.000
0.000 5.886 0.000
0.000 0.000 3.788
Eu Dy Tm
1 2 1
Direct
0.000 0.000 0.000 Eu
0.000 0.500 0.500 Dy
0.500 0.000 0.500 Dy
0.500 0.500 0.000 Tm
```

## Properties
ΔH_f (0 K): 15.5 kJ per mole of atoms
ΔE to the lowest computed polymorph: 0.40 eV per formula unit
Space group: P4/mmm, No. 123
Total magnetization: 7.94 μB per formula unit


No. 2
TaTlAs2 | GGA-PBE | optimized geometry

Geometry as POSCAR:
```
TaTlAs2
1.0
6.874 0.000 0.000
0.000 6.874 0.000
0.000 0.000 6.874
Ta Tl As
4 4 8
Direct
0.000 0.000 0.000 Ta
0.000 0.500 0.500 Ta
0.500 0.000 0.500 Ta
0.500 0.500 0.000 Ta
0.250 0.250 0.750 Tl
0.250 0.750 0.250 Tl
0.750 0.250 0.250 Tl
0.750 0.750 0.750 Tl
0.000 0.000 0.500 As
0.000 0.500 0.000 As
0.250 0.250 0.250 As
0.250 0.750 0.750 As
0.500 0.000 0.000 As
0.500 0.500 0.500 As
0.750 0.250 0.750 As
0.750 0.750 0.250 As
```

## Properties
ΔH_f (0 K): 68.8 kJ per mole of atoms
ΔE to the lowest computed polymorph: 3.41 eV per formula unit
Space group: F-43m, No. 216
Total magnetization: 0.00 μB per formula unit


Question: Which formula does entry 1 have?
Answer: EuDy2Tm


Question: Look up the total magnetization of the first one.
Answer: 7.94 μB per formula unit


Question: Which of these has the lowest total magnetization?
Answer: TaTlAs2


Question: The lowest total magnetization belongs to which entry?
Answer: TaTlAs2